Record 1
11
Lattice="5.862 -0.141 -0.181 -2.747 7.926 1.056 -2.747 -0.897 7.945" Properties=species:S:1:pos:R:3 comment="ErTm3Th7, optimized geometry, DFT PBE" formation_energy_mev_per_atom=364 pbc="T T T"
Th 0.099 1.448 1.854
Th 0.112 -0.494 4.702
Th -2.747 3.515 4.501
Th 0.112 4.681 0.661
Th 0.256 2.207 8.160
Th 0.269 5.440 6.967
Th 0.256 7.382 4.119
Tm -2.747 0.916 6.530
Tm -2.747 6.113 2.472
Tm 2.931 -0.071 -0.090
Er 0.184 3.444 4.410

---

Record 2
13
Lattice="5.947 0.000 -3.208 -3.839 5.561 0.000 2.092 1.445 10.993" Properties=species:S:1:pos:R:3 comment="Er4Tm8Th, optimized geometry, DFT PBE" formation_energy_mev_per_atom=296 pbc="T T T"
Tm 6.501 2.401 4.935
Tm 4.550 5.228 4.935
Tm 1.626 5.228 6.512
Tm -2.301 4.604 2.850
Tm 2.574 1.777 1.273
Tm -0.350 1.777 2.850
Tm 2.860 1.975 5.301
Tm 1.340 5.031 2.483
Er 2.973 0.000 -1.604
Er -1.919 2.780 0.000
Er 1.054 2.780 -1.604
Er 0.000 0.000 0.000
Th -0.873 3.503 5.496

---

Record 3
14
Lattice="5.909 0.000 1.415 2.954 8.683 0.708 -0.302 0.000 8.531" Properties=species:S:1:pos:R:3 comment="Er5TmTh, optimized geometry, DFT PBE" e_above_lowest_polymorph_mev_per_atom=0.0 formation_energy_mev_per_atom=199 pbc="T T T"
Er 5.095 5.991 5.194
Er 6.572 5.991 1.903
Er 3.880 5.440 8.277
Er 5.682 2.586 7.814
Er 1.990 2.692 8.752
Er 7.485 5.440 7.350
Er 2.879 6.097 2.840
Er 3.466 2.692 5.460
Er 1.077 3.244 3.304
Er 4.681 3.244 2.377
Th -0.151 0.000 4.266
Th 0.000 0.000 0.000
Tm 5.682 8.443 7.814
Tm 2.879 0.240 2.840

---

Record 4
12
Lattice="-3.440 -0.108 0.007 0.201 -5.878 8.140 1.381 11.137 3.499" Properties=species:S:1:pos:R:3 comment="Er3TmTh2, optimized geometry, DFT PBE" e_above_lowest_polymorph_mev_per_atom=119.6 formation_energy_mev_per_atom=146 pbc="T T T"
Th -0.022 0.806 1.602
Th -1.837 4.345 10.045
Th -1.774 1.960 4.391
Th -0.085 3.192 7.256
Er -1.968 8.194 4.864
Er -0.149 5.072 4.475
Er -1.671 -1.367 4.028
Er -1.709 0.079 7.172
Er 0.109 -3.042 6.782
Er -0.188 6.518 7.619
Tm -0.019 1.260 10.028
Tm -1.840 3.892 1.619

---

Record 5
11
Lattice="3.550 0.000 0.218 1.768 3.078 0.218 -0.152 -0.088 31.517" Properties=species:S:1:pos:R:3 comment="Er2Tm3Th6, optimized geometry, DFT PBE" formation_energy_mev_per_atom=31 pbc="T T T"
Th 4.796 2.776 8.955
Th 4.270 2.471 17.534
Th 0.371 0.215 22.998
Th 1.795 1.039 28.821
Th 0.897 0.519 14.418
Th 3.371 1.951 3.131
Tm 1.425 0.825 5.820
Tm 0.000 0.000 0.000
Tm 3.742 2.166 26.133
Er 2.849 1.649 11.647
Er 2.318 1.342 20.306

---

Record 6
11
Lattice="-4.945 -6.925 0.639 5.649 -4.040 -0.064 -2.518 2.354 6.030" Properties=species:S:1:pos:R:3 comment="Er3Tm7Th, optimized geometry, DFT PBE" e_above_lowest_polymorph_mev_per_atom=27.4 formation_energy_mev_per_atom=192 pbc="T T T"
Er -3.564 -5.087 6.486
Er -2.312 -6.257 3.489
Er -5.121 -4.249 3.520
Tm 2.067 -6.069 1.243
Tm 1.050 -1.552 5.044
Tm -1.732 0.438 5.076
Tm -0.492 -0.721 2.106
Tm -0.742 -4.059 1.275
Tm 2.361 -2.701 2.040
Tm 0.815 -4.898 4.242
Th -2.013 -2.883 4.285

---

Record 7
7
Lattice="3.553 0.000 0.000 -1.776 3.064 -0.260 0.000 -0.381 19.798" Properties=species:S:1:pos:R:3 comment="Er2Tm4Th, optimized geometry, DFT PBE" e_above_lowest_polymorph_mev_per_atom=0.0 formation_energy_mev_per_atom=17 pbc="T T T"
Tm 0.000 2.426 10.099
Tm 1.777 -0.156 16.091
Tm 1.777 2.974 4.428
Tm 1.777 2.121 18.684
Th 1.777 1.645 13.054
Er 1.777 0.695 1.833
Er 1.777 1.165 7.391

---

Record 8
20
Lattice="9.479 -2.318 -2.237 0.473 8.211 -2.173 0.473 -1.879 8.284" Properties=species:S:1:pos:R:3 comment="Er3TmTh, optimized geometry, DFT PBE" e_above_lowest_polymorph_mev_per_atom=127.2 formation_energy_mev_per_atom=146 pbc="T T T"
Er 8.755 1.542 -0.528
Er 9.528 -1.707 4.650
Er 1.670 2.472 4.402
Er 8.456 5.314 -0.457
Er 4.016 0.686 2.678
Er 0.897 5.721 -0.777
Er 1.969 -1.300 4.331
Er 6.709 3.123 -2.572
Er 3.716 0.892 6.445
Er 4.789 5.745 -0.753
Er 5.636 -1.731 4.627
Er 6.409 3.328 1.195
Tm 7.582 6.371 -3.746
Tm 2.843 -2.357 7.619
Tm 2.843 3.582 1.464
Tm 7.582 0.432 2.409
Th 5.046 3.388 4.174
Th 0.640 0.881 1.755
Th 9.785 3.133 2.118
Th 5.379 0.626 -0.301